This record from Alexandria via LeMat-Bulk describes an optimized crystal structure of SmBSe2. The functional is PBE.

Properties
The magnetization comes out at 0.0 μB/f.u. For the total energy, the calculation gives -52.427 eV/cell. Its density of states at the Fermi level is 0.716 states/eV per atom.

Structure (CIF):
```
data_SmBSe2
_cell_length_a 3.4253
_cell_length_b 3.4253
_cell_length_c 24.9733
_cell_angle_alpha 90.00
_cell_angle_beta 90.00
_cell_angle_gamma 120.00
_symmetry_space_group_name_H-M 'R -3 m'
_symmetry_Int_Tables_number 166
_symmetry_space_group_name_Hall '-R 3 2"'
loop_
_atom_site_label
_atom_site_type_symbol
_atom_site_fract_x
_atom_site_fract_y
_atom_site_fract_z
_atom_site_occupancy
Sm1 Sm 0.0000 0.0000 0.0000 1
B1 B 0.0000 0.0000 0.5000 1
Se1 Se 0.0000 0.0000 0.1160 1
```

---

This record from Alexandria via LeMat-Bulk describes an optimized crystal structure of Sm2BSe. The functional is PBE.

Properties
The magnetization comes out at 0.0 μB/f.u. For the total energy, the calculation gives -69.223 eV/cell. Its density of states at the Fermi level is 0.880 states/eV per atom.

Structure (CIF):
```
data_Sm2BSe
_cell_length_a 3.9333
_cell_length_b 3.9333
_cell_length_c 20.9268
_cell_angle_alpha 90.00
_cell_angle_beta 90.00
_cell_angle_gamma 120.00
_symmetry_space_group_name_H-M 'R -3 m'
_symmetry_Int_Tables_number 166
_symmetry_space_group_name_Hall '-R 3 2"'
loop_
_atom_site_label
_atom_site_type_symbol
_atom_site_fract_x
_atom_site_fract_y
_atom_site_fract_z
_atom_site_occupancy
Sm1 Sm 0.0000 0.0000 0.2416 1
B1 B 0.0000 0.0000 0.5000 1
Se1 Se 0.0000 0.0000 0.0000 1
```